First-principles (GGA-PBE) data for a relaxed structure of SrMg2Pb, as listed in Alexandria via LeMat-Bulk.

```
4
Lattice="3.748 0.000 0.000 0.000 4.865 0.000 -1.827 0.000 6.652" Properties=species:S:1:pos:R:3 pbc="T T T"
Sr 0.000 0.000 0.000
Mg 0.022 0.000 3.397
Mg 1.893 2.433 2.335
Pb 0.046 2.433 5.123
```

Values from the calculation:
The calculation puts the energy at -2.302 eV/atom. As for the space group: Pm. The calculation puts the density of states at the Fermi level at 2.4 states/eV/cell. The formation energy comes out at -0.16 eV per atom.